No. 1
VASP calculation (meta-GGA SCAN) on a PBEsol-optimized structure of Co2SbOs.

## Properties
Its space-group type is P4/mmm, No. 123. As for the energy relative to the elements, uncorrected: 0.556 eV/atom. The value obtained for the magnetic moment is 2.29 μB per formula unit. For the theoretical density, the calculation gives 13001 kg/m³.

abc: 2.8093 2.8093 6.9567
angles: 90.00 90.00 90.00
Last column: nearest neighbours and their distance in Å.
Positions (direct):
Sb1 0.5000 0.5000 0.5000  8 Co 2.73, 4 Sb 2.81
Os1 0.5000 0.5000 0.0000  8 Co 2.56, 4 Os 2.81
Co1 0.0000 0.0000 0.2314  4 Os 2.56, 4 Sb 2.73, 4 Co 2.81
Co2 0.0000 0.0000 0.7686  4 Os 2.56, 4 Sb 2.73, 4 Co 2.81

=====

No. 2
VASP calculation (meta-GGA SCAN) on a PBEsol-optimized structure of Ho2CuSi4O12.

## Properties
Its space-group type is P-1, No. 2. As for the energy relative to the elements, uncorrected: -3.098 eV/atom. The value obtained for the magnetic moment is 0.99 μB per formula unit. For the theoretical density, the calculation gives 5056 kg/m³.

abc: 4.7494 7.0312 7.7650
angles: 65.31 86.28 76.73
Last column: nearest neighbours and their distance in Å.
Positions (direct):
Si1 0.5479 0.8209 0.7833  4 O 1.62-1.66
Si2 0.5772 0.6092 0.2041  4 O 1.62-1.67
Si3 0.4521 0.1791 0.2167  4 O 1.62-1.66
Si4 0.4228 0.3908 0.7959  4 O 1.62-1.67
O1 0.7154 0.6874 0.9932  2 Si 1.64-1.65
O2 0.7326 0.2302 0.8060  1 Si 1.62
O3 0.7717 0.9287 0.6245  1 Si 1.63
O4 0.2104 0.4228 0.6264  1 Si 1.62
O5 0.7420 0.0114 0.2039  1 Si 1.62
O6 0.7896 0.5772 0.3736  1 Si 1.62
O7 0.2846 0.3126 0.0068  2 Si 1.64-1.65
O8 0.2580 0.9886 0.7961  1 Si 1.62
O9 0.5521 0.3544 0.2786  2 Si 1.66-1.67
O10 0.4479 0.6456 0.7214  2 Si 1.66-1.67
O11 0.2283 0.0713 0.3755  1 Si 1.63
O12 0.2674 0.7698 0.1940  1 Si 1.62
Ho1 0.9620 0.2276 0.5507  6 O 2.20-2.32
Ho2 0.0380 0.7724 0.4493  6 O 2.20-2.32
Cu1 0.0000 0.0000 0.0000  4 O 1.94-1.96

=====

No. 3
VASP calculation (meta-GGA SCAN) on a PBEsol-optimized structure of LuCo2Sn.

## Properties
Its space-group type is Fm-3m, No. 225. The value obtained for the magnetic moment is 1.13 μB per formula unit. For the theoretical density, the calculation gives 11274 kg/m³. For the formation energy from the elements, the calculation gives -0.323 eV/atom.

abc: 4.4092 4.4092 4.4092
angles: 60.00 60.00 60.00
Last column: nearest neighbours and their distance in Å.
Positions (direct):
Co1 0.2500 0.2500 0.2500  4 Sn 2.70, 4 Lu 2.70
Co2 0.7500 0.7500 0.7500  4 Sn 2.70, 4 Lu 2.70
Sn1 0.0000 0.0000 0.0000  8 Co 2.70
Lu1 0.5000 0.5000 0.5000  8 Co 2.70

=====

No. 4
VASP calculation (meta-GGA SCAN) on a PBEsol-optimized structure of KIn3Hg.

## Properties
Its space-group type is Pm-3m, No. 221. The value obtained for the magnetic moment is 0.00 μB per formula unit. For the theoretical density, the calculation gives 5574 kg/m³. For the formation energy from the elements, the calculation gives 0.148 eV/atom.

abc: 5.5831 5.5831 5.5831
angles: 90.00 90.00 90.00
Last column: nearest neighbours and their distance in Å.
Positions (direct):
K1 0.5000 0.5000 0.5000  12 In 3.95
In1 0.0000 0.0000 0.5000  2 Hg 2.79
In2 0.5000 0.0000 0.0000  2 Hg 2.79
In3 0.0000 0.5000 0.0000  2 Hg 2.79
Hg1 0.0000 0.0000 0.0000  6 In 2.79

=====

No. 5
VASP calculation (meta-GGA SCAN) on a PBEsol-optimized structure of CdInHg2.

## Properties
Its space-group type is P1, No. 1. The value obtained for the magnetic moment is 0.00 μB per formula unit. For the theoretical density, the calculation gives 11377 kg/m³. For the formation energy from the elements, the calculation gives 0.033 eV/atom.

abc: 3.2672 5.5220 5.5080
angles: 102.35 109.11 86.26
Last column: nearest neighbours and their distance in Å.
Positions (direct):
Cd1 0.7438 0.2284 0.4957  7 Hg 3.04-3.34, 3 In 3.20-3.30, 2 Cd 3.27
Hg1 0.2522 0.7360 0.5026  3 In 3.07-3.12, 4 Cd 3.09-3.34, 5 Hg 3.19-3.30
Hg2 0.0058 0.0201 0.0034  3 Cd 3.04-3.09, 4 In 3.11-3.32, 5 Hg 3.19-3.30
In1 0.4981 0.5155 0.9982  7 Hg 3.07-3.32, 3 Cd 3.20-3.30, 2 In 3.27

=====

No. 6
VASP calculation (meta-GGA SCAN) on a PBEsol-optimized structure of La2MgRu.

## Properties
Its space-group type is P4/mmm, No. 123. The value obtained for the magnetic moment is 0.26 μB per formula unit. For the theoretical density, the calculation gives 6370 kg/m³. For the formation energy from the elements, the calculation gives -0.189 eV/atom.

abc: 3.4176 3.4176 8.9993
angles: 90.00 90.00 90.00
Last column: nearest neighbours and their distance in Å.
Positions (direct):
Ru1 0.5000 0.5000 0.5000  8 La 2.99
Mg1 0.5000 0.5000 0.0000  4 Mg 3.42, 8 La 3.66
La1 0.0000 0.0000 0.6952  4 Ru 2.99
La2 0.0000 0.0000 0.3048  4 Ru 2.99

=====

No. 7
VASP calculation (meta-GGA SCAN) on a PBEsol-optimized structure of NbSb2TeBr.

## Properties
Its space-group type is P4/mmm, No. 123. As for the energy relative to the elements, uncorrected: 0.113 eV/atom. The value obtained for the magnetic moment is 0.00 μB per formula unit. For the theoretical density, the calculation gives 6097 kg/m³.

abc: 5.2075 5.3337 5.3337
angles: 90.00 90.00 90.00
Last column: nearest neighbours and their distance in Å.
Positions (direct):
Nb1 0.0000 0.0000 0.0000  2 Te 2.60, 4 Sb 2.67
Br1 0.5000 0.5000 0.5000  8 Sb 3.73, 4 Te 3.77
Te1 0.5000 0.0000 0.0000  2 Nb 2.60
Sb1 0.0000 0.5000 0.0000  2 Nb 2.67
Sb2 0.0000 0.0000 0.5000  2 Nb 2.67

=====

No. 8
VASP calculation (meta-GGA SCAN) on a PBEsol-optimized structure of PdIBr3.

## Properties
Its space-group type is Pm-3m, No. 221. As for the energy relative to the elements, uncorrected: 0.650 eV/atom. The value obtained for the magnetic moment is 0.51 μB per formula unit. For the theoretical density, the calculation gives 4446 kg/m³.

abc: 5.6111 5.6111 5.6111
angles: 90.00 90.00 90.00
Last column: nearest neighbours and their distance in Å.
Positions (direct):
Br1 0.0000 0.5000 0.0000  2 I 2.81
Br2 0.5000 0.0000 0.0000  2 I 2.81
Br3 0.0000 0.0000 0.5000  2 I 2.81
Pd1 0.5000 0.5000 0.5000  12 Br 3.97
I1 0.0000 0.0000 0.0000  6 Br 2.81

=====

No. 9
VASP calculation (meta-GGA SCAN) on a PBEsol-optimized structure of NbO2F.

## Properties
Its space-group type is P-1, No. 2. As for the energy relative to the elements, uncorrected: -2.821 eV/atom. The value obtained for the magnetic moment is 0.00 μB per formula unit. For the theoretical density, the calculation gives 3853 kg/m³.

abc: 5.5091 5.6120 13.7199
angles: 87.03 88.93 61.46
Last column: nearest neighbours and their distance in Å.
Positions (direct):
O1 0.1371 0.2015 0.1693  2 Nb 1.89-1.98
O2 0.6580 0.1780 0.6699  2 Nb 1.88-2.00
O3 0.6665 0.1564 0.1692  1 Nb 1.83
O4 0.5000 0.5000 0.0000  2 Nb 1.92
O5 0.8629 0.7985 0.8307  2 Nb 1.89-1.98
O6 0.8241 0.8516 0.3367  2 Nb 1.91-1.98
O7 0.1759 0.1484 0.6633  2 Nb 1.91-1.98
O8 0.5000 0.5000 0.5000  2 Nb 1.95
O9 0.3420 0.8220 0.3301  2 Nb 1.88-2.00
O10 0.5000 0.0000 0.0000  2 Nb 1.89
O11 0.3335 0.8436 0.8308  1 Nb 1.83
O12 0.0000 0.5000 0.5000  2 Nb 1.93
Nb1 0.9723 0.0153 0.7509  4 O 1.88-2.06, 1 F 1.98
Nb2 0.3752 0.2941 0.0830  4 O 1.83-1.98
Nb3 0.3221 0.3384 0.5836  4 O 1.91-2.00, 2 F 2.02-2.07
Nb4 0.6779 0.6616 0.4164  4 O 1.91-2.00, 2 F 2.02-2.07
Nb5 0.6248 0.7059 0.9170  4 O 1.83-1.98
Nb6 0.0277 0.9847 0.2491  4 O 1.88-2.06, 1 F 1.98
F1 0.8443 0.3298 0.3356  2 Nb 2.02-2.12
F2 0.0000 0.5000 0.0000  2 Nb 2.14
F3 0.1712 0.6737 0.1631  2 Nb 1.98-2.22
F4 0.5000 0.0000 0.5000  2 Nb 2.07
F5 0.8288 0.3263 0.8369  2 Nb 1.98-2.22
F6 0.1557 0.6702 0.6644  2 Nb 2.02-2.12

=====

No. 10
VASP calculation (meta-GGA SCAN) on a PBEsol-optimized structure of ReSi.

## Properties
Its space-group type is P4/nmm, No. 129. As for the energy relative to the elements, uncorrected: -0.289 eV/atom. The value obtained for the magnetic moment is 0.00 μB per formula unit. For the theoretical density, the calculation gives 13390 kg/m³.

abc: 3.0903 3.0903 5.5653
angles: 90.00 90.00 90.00
Last column: nearest neighbours and their distance in Å.
Positions (direct):
Re1 0.0000 0.5000 0.1674  5 Si 2.47-2.55
Re2 0.5000 0.0000 0.8326  5 Si 2.47-2.55
Si1 0.0000 0.5000 0.6255  5 Re 2.47-2.55, 4 Si 2.59
Si2 0.5000 0.0000 0.3745  5 Re 2.47-2.55, 4 Si 2.59

=====

- The highest theoretical density belongs to which entry?
  ReSi

=====

- Which of these has the highest magnetic moment?
  Co2SbOs